MgVSnCl6 | PBE | optimized geometry

Uncorrected energy in eV/atom: -4.18
Magnetic moment in μB/cell: 6.00
E_form (uncorrected) in eV/atom: -1.312

a b c (Å): 6.4670 6.4670 12.4049
angles (deg): 90.00 90.00 120.00
Atoms (fractional coordinates):
Mg1 0.3333 0.6667 0.2500
Mg2 0.6667 0.3333 0.7500
V1 0.3333 0.6667 0.7500
V2 0.6667 0.3333 0.2500
Sn1 0.0000 0.0000 0.0000
Sn2 0.0000 0.0000 0.5000
Cl1 0.0049 0.3660 0.6364
Cl2 0.0049 0.6389 0.8636
Cl3 0.3611 0.3660 0.8636
Cl4 0.3611 0.9951 0.6364
Cl5 0.3660 0.0049 0.1364
Cl6 0.3660 0.3611 0.3636
Cl7 0.6340 0.6389 0.6364
Cl8 0.6340 0.9951 0.8636
Cl9 0.6389 0.0049 0.3636
Cl10 0.6389 0.6340 0.1364
Cl11 0.9951 0.3611 0.1364
Cl12 0.9951 0.6340 0.3636